# 1
First-principles (PBE) data for a geometry-optimized Tc3SbOs structure, as listed in the Alexandria database.

Summary:
relative energy among the computed polymorphs = 0 meV per atom
symmetry = No. 221
theoretical density = 9.57 g/cm³
formation energy from raw total energies = 1.5606 eV per atom

abc: 4.7199 4.7199 4.7199
angles: 90.00 90.00 90.00
Last column: magnetic moment on the atom in μB.
Element x y z (fractional)
Sb: 0.5000 0.5000 0.5000  -0.02
Os: 0.0000 0.0000 0.0000  -0.04
Tc: 0.0000 0.5000 0.0000  0.31
Tc: 0.0000 0.0000 0.5000  0.29
Tc: 0.5000 0.0000 0.0000  0.26


# 2
First-principles (PBE) data for a geometry-optimized Ce8In2Os3 structure, as listed in the Alexandria database.

Summary:
relative energy among the computed polymorphs = 66 meV per atom
symmetry = No. 12
energy of formation = -44 meV per atom
theoretical density = 8.89 g/cm³

abc: 8.2591 6.6551 7.8292
angles: 115.15 110.56 90.00
Last column: magnetic moment on the atom in μB.
Element x y z (fractional)
Ce: 0.0172 0.6267 0.2535  0.17
Ce: 0.9828 0.3733 0.7465  0.17
Ce: 0.8302 0.1404 0.2809  0.33
Ce: 0.1698 0.8596 0.7191  0.33
Ce: 0.6182 0.6168 0.7929  0.68
Ce: 0.6182 0.1760 0.7929  0.68
Ce: 0.3818 0.8240 0.2071  0.68
Ce: 0.3818 0.3832 0.2071  0.68
In: 0.2443 0.2508 0.5015  -0.01
In: 0.7557 0.7492 0.4985  -0.01
Os: 0.5000 0.0000 0.0000  -0.07
Os: 0.0000 0.1947 0.0000  -0.05
Os: 0.0000 0.8053 0.0000  -0.05


# 3
First-principles (PBE) data for a geometry-optimized DyPuMn2 structure, as listed in the Alexandria database.

Summary:
symmetry = No. 123
energy of formation = 60 meV per atom
theoretical density = 10.92 g/cm³

abc: 3.4034 3.4034 6.7771
angles: 90.00 90.00 90.00
Last column: magnetic moment on the atom in μB.
Element x y z (fractional)
Dy: 0.5000 0.5000 0.5000  0.30
Mn: 0.0000 0.0000 0.7929  -2.77
Mn: 0.0000 0.0000 0.2071  -2.77
Pu: 0.5000 0.5000 0.0000  5.12


# 4
First-principles (PBE) data for a geometry-optimized Li2ReRu structure, as listed in the Alexandria database.

Summary:
relative energy among the computed polymorphs = 73 meV per atom
symmetry = No. 35
energy of formation = 228 meV per atom
theoretical density = 8.22 g/cm³

abc: 2.6760 2.6760 9.3633
angles: 90.00 90.00 114.84
Element x y z (fractional)
Li: 0.0000 0.0000 0.9805
Li: 0.5000 0.5000 0.2643
Re: 0.0000 0.0000 0.5128
Ru: 0.5000 0.5000 0.7425